Arrangement 1

Entry from Alexandria via LeMat-Bulk: a PBEsol-optimized structure of Mg2VWO6 (SCAN).

Cell lengths 5.1171, 5.1170, 5.4580 Å; angles 62.05, 62.04, 60.00 degrees
Fractional positions:
W (0.9754, 0.9993, 0.0266)
O (0.1972, 0.8819, 0.3013)
O (0.3493, 0.7295, 0.8076)
O (0.8580, 0.6203, 0.3012)
O (0.5963, 0.2211, 0.3012)
O (0.0904, 0.3731, 0.8076)
O (0.7058, 0.1142, 0.8075)
V (0.4763, 0.5001, 0.5239)
Mg (0.7699, 0.7936, 0.6433)
Mg (0.2695, 0.2933, 0.1445)

Properties
**SG**: R3, No. 146

Arrangement 2

Entry from Alexandria via LeMat-Bulk: a PBEsol-optimized structure of Mg2VWO6 (SCAN).

Cell lengths 5.1108, 5.3029, 7.4599 Å; angles 90.00, 90.33, 90.00 degrees
Fractional positions:
O (0.1289, 0.5599, 0.2467)
O (0.6827, 0.6844, 0.0610)
O (0.8224, 0.1907, 0.0711)
O (0.1827, 0.8156, 0.5610)
O (0.3173, 0.3156, 0.9390)
O (0.3224, 0.3093, 0.5711)
O (0.3711, 0.0599, 0.2533)
O (0.6776, 0.6907, 0.4289)
O (0.1776, 0.8093, 0.9289)
O (0.8173, 0.1844, 0.4390)
O (0.8711, 0.4401, 0.7533)
O (0.6289, 0.9401, 0.7467)
V (0.0000, 0.5000, 0.5000)
V (0.5000, 0.0000, 0.0000)
Mg (0.5102, 0.4432, 0.2449)
Mg (0.0102, 0.0568, 0.7449)
Mg (0.4898, 0.5568, 0.7551)
Mg (0.9898, 0.9432, 0.2551)
W (0.5000, 0.0000, 0.5000)
W (0.0000, 0.5000, 0.0000)

Properties
**SG**: P2_1/c, No. 14

Winner for stability: arrangement 1

Arrangement 1

Entry from Alexandria via LeMat-Bulk: a PBEsol-optimized structure of MgPOs2 (SCAN).

Cell lengths 2.8631, 4.8361, 4.8624 Å; angles 114.13, 107.12, 90.00 degrees
Fractional positions:
Os (0.7366, 0.3176, 0.4732)
Os (0.0178, 0.8883, 0.0356)
Mg (0.2703, 0.8279, 0.5406)
P (0.4753, 0.4662, 0.9507)

Properties
**SG**: Cm, No. 8

Arrangement 2

Entry from Alexandria via LeMat-Bulk: a PBEsol-optimized structure of MgPOs2 (SCAN).

Cell lengths 3.0076, 4.1776, 4.1776 Å; angles 90.00, 90.00, 90.00 degrees
Fractional positions:
Mg (0.5000, 0.0000, 0.0000)
Os (0.0000, 0.0000, 0.5000)
Os (0.0000, 0.5000, 0.0000)
P (0.5000, 0.5000, 0.5000)

Properties
**SG**: P4/mmm, No. 123

Winner for stability: arrangement 1

Arrangement 1

Entry from Alexandria via LeMat-Bulk: a PBEsol-optimized structure of MgOsPb (SCAN).

Cell lengths 4.4876, 4.4876, 4.4876 Å; angles 60.00, 60.00, 60.00 degrees
Fractional positions:
Pb (0.0000, 0.0000, 0.0000)
Os (0.2500, 0.2500, 0.2500)
Mg (0.5000, 0.5000, 0.5000)

Properties
**SG**: F-43m, No. 216

Arrangement 2

Entry from Alexandria via LeMat-Bulk: a PBEsol-optimized structure of MgOsPb (SCAN).

Cell lengths 3.0234, 3.0234, 7.3185 Å; angles 97.03, 97.03, 114.03 degrees
Fractional positions:
Mg (0.0197, 0.0197, 0.0393)
Os (0.6611, 0.6611, 0.3222)
Pb (0.3192, 0.3192, 0.6384)

Properties
**SG**: Fmm2, No. 42

Winner for stability: arrangement 1

Arrangement 1

Entry from Alexandria via LeMat-Bulk: a PBEsol-optimized structure of MgOsPt (SCAN).

Cell lengths 2.7678, 2.7678, 6.7575 Å; angles 90.00, 90.00, 120.00 degrees
Fractional positions:
Mg (0.0000, 0.0000, 0.0025)
Pt (0.6667, 0.3333, 0.3340)
Os (0.3333, 0.6667, 0.6635)

Properties
**SG**: P3m1, No. 156

Arrangement 2

Entry from Alexandria via LeMat-Bulk: a PBEsol-optimized structure of MgOsPt (SCAN).

Cell lengths 2.6927, 4.0289, 4.7896 Å; angles 114.87, 106.33, 90.00 degrees
Fractional positions:
Pt (0.3330, 0.3330, 0.6660)
Os (0.6674, 0.6674, 0.3347)
Mg (0.9996, 0.9996, 0.9992)

Properties
**SG**: Imm2, No. 44

Winner for stability: arrangement 1

Arrangement 1

Entry from Alexandria via LeMat-Bulk: a PBEsol-optimized structure of Mg2TaOs (SCAN).

Cell lengths 2.7449, 4.6534, 5.3398 Å; angles 90.00, 103.53, 90.00 degrees
Fractional positions:
Os (0.5000, 0.5000, 0.0000)
Ta (0.0000, 0.5000, 0.5000)
Mg (0.6961, 0.0000, 0.7606)
Mg (0.3039, 0.0000, 0.2394)

Properties
**SG**: P2/m, No. 10

Arrangement 2

Entry from Alexandria via LeMat-Bulk: a PBEsol-optimized structure of Mg2TaOs (SCAN).

Cell lengths 3.2086, 3.2086, 6.9519 Å; angles 90.00, 90.00, 90.00 degrees
Fractional positions:
Mg (0.5000, 0.5000, 0.2762)
Mg (0.0000, 0.0000, 0.9895)
Os (0.0000, 0.0000, 0.5242)
Ta (0.5000, 0.5000, 0.7100)

Properties
**SG**: P4mm, No. 99

Arrangement 3

Entry from Alexandria via LeMat-Bulk: a PBEsol-optimized structure of Mg2TaOs (SCAN).

Cell lengths 2.7074, 5.3166, 5.4544 Å; angles 115.64, 98.10, 102.71 degrees
Fractional positions:
Os (0.0000, 0.5000, 0.0000)
Mg (0.0000, 0.0000, 0.5000)
Mg (0.5000, 0.5000, 0.5000)
Ta (0.5000, 0.0000, 0.0000)

Properties
**SG**: C2/m, No. 12

Winner for stability: arrangement 2

Arrangement 1

Entry from Alexandria via LeMat-Bulk: a PBEsol-optimized structure of Mg2OsW (SCAN).

Cell lengths 3.7577, 3.7577, 4.5074 Å; angles 90.00, 90.00, 90.00 degrees
Fractional positions:
Mg (0.5000, 0.0000, 0.0000)
Mg (0.0000, 0.5000, 0.0000)
W (0.0000, 0.0000, 0.5000)
Os (0.5000, 0.5000, 0.5000)

Properties
**SG**: P4/mmm, No. 123

Arrangement 2

Entry from Alexandria via LeMat-Bulk: a PBEsol-optimized structure of Mg2OsW (SCAN).

Cell lengths 2.6971, 4.5867, 5.2493 Å; angles 90.00, 103.02, 90.00 degrees
Fractional positions:
Mg (0.2831, 0.0000, 0.2458)
Mg (0.7169, 0.0000, 0.7542)
Os (0.5000, 0.5000, 0.0000)
W (0.0000, 0.5000, 0.5000)

Properties
**SG**: P2/m, No. 10

Winner for stability: arrangement 1

Arrangement 1

Entry from Alexandria via LeMat-Bulk: a PBEsol-optimized structure of MgZnOs (SCAN).

Cell lengths 4.1669, 4.1669, 4.1669 Å; angles 60.00, 60.00, 60.00 degrees
Fractional positions:
Mg (0.2500, 0.2500, 0.2500)
Zn (0.5000, 0.5000, 0.5000)
Os (0.0000, 0.0000, 0.0000)

Properties
**SG**: F-43m, No. 216

Arrangement 2

Entry from Alexandria via LeMat-Bulk: a PBEsol-optimized structure of MgZnOs (SCAN).

Cell lengths 2.7267, 2.7267, 6.4256 Å; angles 102.25, 102.25, 90.00 degrees
Fractional positions:
Os (0.6710, 0.6710, 0.3421)
Mg (0.0052, 0.0052, 0.0105)
Zn (0.3237, 0.3237, 0.6475)

Properties
**SG**: I4mm, No. 107

Winner for stability: arrangement 2

Arrangement 1

Entry from Alexandria via LeMat-Bulk: a PBEsol-optimized structure of Mg2ZrOs (SCAN).

Cell lengths 2.8170, 4.6868, 5.5273 Å; angles 90.00, 103.91, 90.00 degrees
Fractional positions:
Mg (0.9176, 0.0000, 0.2308)
Mg (0.0824, 0.0000, 0.7692)
Os (0.5000, 0.5000, 0.0000)
Zr (0.5000, 0.5000, 0.5000)

Properties
**SG**: P2/m, No. 10

Arrangement 2

Entry from Alexandria via LeMat-Bulk: a PBEsol-optimized structure of Mg2ZrOs (SCAN).

Cell lengths 3.8937, 3.8937, 4.7009 Å; angles 90.00, 90.00, 90.00 degrees
Fractional positions:
Os (0.5000, 0.5000, 0.5000)
Mg (0.5000, 0.0000, 0.0000)
Mg (0.0000, 0.5000, 0.0000)
Zr (0.0000, 0.0000, 0.5000)

Properties
**SG**: P4/mmm, No. 123

Winner for stability: arrangement 2